1.
VASP calculation (PBE-GGA) on an optimized crystal structure of RuPtRh2.

Lattice parameters (Å, degrees): 4.736 4.736 4.735 80.43 80.43 33.56
Atoms (fractional coordinates):
Rh (0.001, 0.001, 0.996)
Rh (0.752, 0.752, 0.745)
Pt (0.248, 0.248, 0.252)
Ru (0.498, 0.498, 0.507)

Computed properties:
The calculation puts the total energy at -7.493 eV/atom. As for the energy above the most stable polymorph in this dataset: 0.055 eV per atom. Its formation energy is 0.05 eV per formula unit. Its theoretical density is 14.4 Mg/m³.

=====

2.
VASP calculation (PBE-GGA) on an optimized crystal structure of RuPtRh2.

Lattice parameters (Å, degrees): 3.310 3.310 5.425 90.00 90.00 90.00
Last column: magnetic moment on the atom in μB.
Atoms (fractional coordinates):
Rh (0.000, 0.000, 0.494)  0.16
Rh (0.000, 0.000, 0.006)  0.16
Pt (0.500, 0.500, 0.750)  0.01
Ru (0.500, 0.500, 0.250)  0.78

Computed properties:
The calculation puts the total energy at -7.302 eV/atom. As for the energy above the most stable polymorph in this dataset: 0.246 eV per atom. Its formation energy is 0.81 eV per formula unit. Its theoretical density is 14.0 Mg/m³.